Er6In2Pd: relaxed, PBE.

Lattice parameters (Å, degrees): 5.028 7.206 14.976 90.00 90.00 90.00
Space group Immm (No. 71)
One atom of each set of equivalent atoms:
Er (0.000, 0.231, 0.000)
Er (0.000, 0.260, 0.342)
In (0.000, 0.500, 0.167)
Pd (0.000, 0.500, 0.500)

Results
For the total energy, the calculation gives -4.454 eV per atom. As for the volume: 30.14 Å³ per atom. The total magnetic moment comes out at 0.0 μB per cell. For the energy of formation from the pure elements, the calculation gives -0.227 eV per atom. Its crystal system is orthorhombic.